{
  "formula": "RbTlCrF6",
  "functional": "PBE+U",
  "state": "optimized geometry",
  "lattice": [[5.977, 0.004, -0.001], [2.990, 5.177, -0.007], [-0.002, 0.004, 4.939]],
  "species": ["F", "F", "F", "F", "F", "F", "Rb", "Cr", "Tl"],
  "fractional_positions": [[0.816, 0.816, 0.339], [0.816, 0.368, 0.339], [0.518, 0.518, 0.765], [0.368, 0.816, 0.339], [0.517, 0.965, 0.765], [0.965, 0.518, 0.765], [0.000, 0.000, 0.859], [0.667, 0.667, 0.553], [0.333, 0.333, 0.277]],
  "crystal_system": "trigonal",
  "energy_ev_per_cell": -44.064,
  "magnetic_moment_mub_per_fu": 2.000
}